## LiBeCd2 (PBE-GGA)

Data for a relaxed structure of LiBeCd2.

Lattice parameters (Å, degrees): 3.0296 3.0296 7.1273 90.00 90.00 90.00
Space group P4/mmm (No. 123)
Asymmetric unit:
Li1 0.0000 0.0000 0.0000 [1 per cell]
Be1 0.0000 0.0000 0.5000 [1 per cell]
Cd1 0.5000 0.5000 0.2680 [2 per cell]

The formation energy is 0.3 eV/f.u.

***

## Li2BeCd (PBE-GGA)

Data for a relaxed structure of Li2BeCd.

Lattice parameters (Å, degrees): 3.1942 4.2064 4.4208 90.00 90.00 90.00
Space group Pmmm (No. 47)
Asymmetric unit:
Li1 0.0000 0.0000 0.0000 [1 per cell]
Li2 0.5000 0.5000 0.0000 [1 per cell]
Be1 0.0000 0.5000 0.5000 [1 per cell]
Cd1 0.5000 0.0000 0.5000 [1 per cell]

The formation energy is 0.4 eV/f.u. The value obtained for the relative energy among the computed polymorphs is 74 meV/atom.